AlMoO3 | PBE+U | optimized geometry

Summary:
ρ (g/cm3): 5.8
E (eV/atom): -6.765
Symmetry: Pm-3m (221)

Unit cell a=3.659 b=3.659 c=3.659 alpha=90.00 beta=90.00 gamma=90.00
Site moments in Bohr magnetons follow the coordinates.
Fractional coordinates of all 5 atoms:
Mo1 0.500 0.500 0.500  3.12
Al1 0.000 0.000 0.000  0.00
O1 0.000 0.500 0.000  -0.12
O2 0.000 0.000 0.500  -0.08
O3 0.500 0.000 0.000  -0.09